{"formula": "Pm7Si3Ge", "functional": "PBE", "state": "relaxed", "cell": [[4.643, -5.461, 0.000], [4.643, 5.461, 0.000], [-2.423, 0.000, 6.120]], "species": ["Pm", "Pm", "Pm", "Pm", "Pm", "Pm", "Pm", "Si", "Si", "Si", "Ge"], "fractional_positions": [[0.000, 0.000, 0.000], [0.111, 0.554, 0.295], [0.335, 0.335, 0.798], [0.446, 0.889, 0.705], [0.554, 0.111, 0.295], [0.665, 0.665, 0.202], [0.889, 0.446, 0.705], [0.270, 0.730, 0.000], [0.500, 0.500, 0.500], [0.730, 0.270, 0.000], [0.000, 0.000, 0.500]], "crystal_system": "monoclinic", "magmom_total_mub_per_cell": 0.00, "n_ef_per_ev_cell": 8.028, "raw_formation_energy_kj_per_mol_fu": -438}